Here is an optimized crystal structure of AuSeBr from Alexandria via LeMat-Bulk. Energies are from PBE.

a b c (Å): 3.6369 8.8766 13.3560
angles (deg): 90.00 90.00 90.00
Element x y z (fractional)
Au  0.0000  0.0000  0.0000
Au  0.0000  0.5000  0.5000
Au  0.5000  0.0000  0.5000
Au  0.5000  0.5000  0.0000
Se  0.0000  0.0000  0.3754
Se  0.0000  0.5000  0.8754
Se  0.5000  0.0000  0.8754
Se  0.5000  0.5000  0.3754
Br  0.0000  0.0000  0.6356
Br  0.0000  0.5000  0.1356
Br  0.5000  0.0000  0.1356
Br  0.5000  0.5000  0.6356

The calculation puts the density of states at the Fermi level at 2.6 states/eV/f.u. The value obtained for the uncorrected energy is -2.798 eV per atom. Its uncorrected formation energy is 0.014 eV per atom. The density comes out at 5.5 g/cm³. The space-group type is No. 42. For the size of the total moment, the calculation gives 0.087 μB/f.u.